# Ba2CaLa2

Crystalline Ba2CaLa2 at its relaxed geometry (PBE, Alexandria).

Calculated values
Offset from the most stable computed form ... 63 meV per atom
Electronic total energy ... -2.826 eV per atom
N(E_F) ... 1.71 states/eV/atom
Volume ... 51.342 Å³ per atom
Formation energy from the elements ... 0.31 eV per atom

Cell: 4.7262 4.7262 11.9686 Å, 78.61 78.61 90.00°
Sites, in units of the cell vectors:
La (0.7500, 0.2500, 0.5000)
La (0.2500, 0.7500, 0.5000)
Ca (0.0000, 0.0000, 0.0000)
Ba (0.3987, 0.3987, 0.2026)
Ba (0.6013, 0.6013, 0.7974)

***

# Ba2CaLa

Crystalline Ba2CaLa at its relaxed geometry (PBE, Alexandria).

Calculated values
Offset from the most stable computed form ... 48 meV per atom
Electronic total energy ... -2.545 eV per atom
N(E_F) ... 1.08 states/eV/atom
Volume ... 48.770 Å³ per atom
Formation energy from the elements ... 0.15 eV per atom

Cell: 7.6658 7.6658 7.6658 Å, 145.53 129.33 62.73°
Sites, in units of the cell vectors:
La (0.2500, 0.7500, 0.5000)
Ba (0.4985, 0.4985, 0.0000)
Ba (0.0015, 0.0015, 0.0000)
Ca (0.7500, 0.2500, 0.5000)